This record from the Alexandria database describes an optimized crystal structure of Sm2Tl2Hg. The functional is PBE.

ΔE to the lowest computed polymorph: 72.3 meV per atom
crystal system: orthorhombic
DFT formation energy: -0.257 eV/atom
uncorrected energy: -3.1511 eV/atom
volume: 144 Å³ per cell

Cell: 3.513 3.717 11.158 Å, 80.41 90.00 90.00°
Fractional coordinates of all 5 atoms:
Sm1 0.500 0.406 0.187
Sm2 0.500 0.594 0.813
Tl1 0.000 0.193 0.614
Tl2 0.000 0.807 0.386
Hg1 0.000 0.000 0.000